[1]
A plane-wave DFT calculation with PBE was carried out for an optimized crystal structure of MnTlMo2.

Output
Volume, Å³/cell: 68.8
Space group: Cmm2 (35)
Energy above the lowest structure with this stoichiometry, eV per atom: 0.067
Formation enthalpy at 0 K, eV/atom: 0.46
Calculated total energy, eV/atom: -7.840
Total moment, μB per atom: 0.628

Cell lengths 2.877, 2.877, 8.890 Å; angles 90.00, 90.00, 110.80 degrees
Sites, in units of the cell vectors:
Mo 0.500 0.500 0.226
Mo 0.000 0.000 0.993
Mn 0.500 0.500 0.773
Tl 0.000 0.000 0.508

---

[2]
A plane-wave DFT calculation with PBE was carried out for an optimized crystal structure of MnTlMo2.

Output
Volume, Å³/cell: 67.9
Space group: Cmmm (65)
Energy above the lowest structure with this stoichiometry, eV per atom: 0.260
Formation enthalpy at 0 K, eV/atom: 0.65
Calculated total energy, eV/atom: -7.648
Total moment, μB per atom: 0.804

Cell lengths 5.141, 5.141, 2.854 Å; angles 90.00, 90.00, 115.84 degrees
Sites, in units of the cell vectors:
Mn 0.000 0.500 0.500
Tl 0.500 0.000 0.500
Mo 0.000 0.000 0.000
Mo 0.500 0.500 0.000

---

[3]
A plane-wave DFT calculation with PBE was carried out for an optimized crystal structure of MnTlMo2.

Output
Volume, Å³/cell: 146.7
Space group: I-42d (122)
Energy above the lowest structure with this stoichiometry, eV per atom: 0.513
Formation enthalpy at 0 K, eV/atom: 0.90
Calculated total energy, eV/atom: -7.395
Total moment, μB per atom: 0.843

Cell lengths 3.815, 3.815, 10.434 Å; angles 79.47, 79.47, 90.00 degrees
Sites, in units of the cell vectors:
Mo 0.375 0.403 0.750
Mo 0.597 0.125 0.250
Mo 0.875 0.847 0.750
Mo 0.153 0.625 0.250
Mn 0.250 0.750 0.500
Mn 0.500 0.500 0.000
Tl 0.750 0.250 0.500
Tl 0.000 0.000 0.000

---

[4]
A plane-wave DFT calculation with PBE was carried out for an optimized crystal structure of Mn2TlMo.

Output
Volume, Å³/cell: 64.8
Space group: P4/mmm (123)
Energy above the lowest structure with this stoichiometry, eV per atom: 0.181
Formation enthalpy at 0 K, eV/atom: 0.53
Calculated total energy, eV/atom: -7.351
Total moment, μB per atom: 1.271

Cell lengths 4.513, 4.512, 3.183 Å; angles 90.00, 90.00, 90.00 degrees
Sites, in units of the cell vectors:
Mn 0.500 0.500 0.000
Mn 0.000 0.000 0.000
Mo 0.500 0.000 0.500
Tl 0.000 0.500 0.500